CeHo2Hg: relaxed, PBE.

Summary:
**N(E_F)**: 1.59 states/eV per atom
**Polymorph energy (0 for the lowest one)**: 0.062 eV/atom
**Final energy**: -47.76 eV per cell

Unit cell a=3.5475 b=3.5475 c=31.5617 alpha=90.00 beta=90.00 gamma=120.00
Space group R-3m (No. 166, hexagonal axes)
Symmetry-distinct sites (fractional):
Ce: 0.0000 0.0000 0.0000 (multiplicity 3)
Ho: 0.0000 0.0000 0.2436 (multiplicity 6)
Hg: 0.0000 0.0000 0.5000 (multiplicity 3)



FeAg4Br: relaxed, PBE.

Summary:
**E_form (uncorrected)**: 0.52 eV per atom
**N(E_F)**: 1.01 states/eV per atom
**Final energy**: -73.66 eV per cell

Unit cell a=7.8780 b=7.8780 c=7.8780 alpha=90.00 beta=90.00 gamma=90.00
Space group F-43m (No. 216)
Symmetry-distinct sites (fractional):
Fe: 0.0000 0.0000 0.0000 (multiplicity 4)
Ag: 0.1255 0.1255 0.6255 (multiplicity 16)
Br: 0.2500 0.2500 0.2500 (multiplicity 4)



K3MgH6: relaxed, PBE.

Summary:
**N(E_F)**: 0.08 states/eV per atom
**Final energy**: -104.32 eV per cell

Unit cell a=10.6308 b=14.4871 c=5.7624 alpha=90.00 beta=90.00 gamma=90.00
Space group Cmc2_1 (No. 36)
Symmetry-distinct sites (fractional):
K: 0.0000 0.1505 0.0000 (multiplicity 4)
K: 0.1924 0.3874 0.0221 (multiplicity 8)
Mg: 0.0000 0.3080 0.5574 (multiplicity 4)
H: 0.0000 0.3045 0.2378 (multiplicity 4)
H: 0.0000 0.4248 0.6904 (multiplicity 4)
H: 0.0391 0.0148 0.3138 (multiplicity 8)
H: 0.1385 0.2448 0.6841 (multiplicity 8)



Y2Tm2S3: relaxed, PBE.

Summary:
**E_form (uncorrected)**: -1.68 eV per atom
**N(E_F)**: 0.49 states/eV per atom
**Final energy**: -92.10 eV per cell

Unit cell a=12.7796 b=3.8385 c=6.6224 alpha=90.00 beta=101.09 gamma=90.00
Space group C2/m (No. 12)
Symmetry-distinct sites (fractional):
Y: 0.1248 0.0000 0.3673 (multiplicity 4)
Tm: 0.1243 0.5000 0.8761 (multiplicity 4)
S: 0.0000 0.5000 0.5000 (multiplicity 2)
S: 0.2454 0.0000 0.7527 (multiplicity 4)



Pm2Dy4Er: relaxed, PBE.

Summary:
**N(E_F)**: 1.35 states/eV per atom
**Polymorph energy (0 for the lowest one)**: 0.067 eV/atom
**Final energy**: -124.21 eV per cell

Unit cell a=3.7514 b=13.6521 c=18.4398 alpha=90.00 beta=90.00 gamma=90.00
Space group Cmce (No. 64)
Symmetry-distinct sites (fractional):
Pm: 0.0000 0.1313 0.1524 (multiplicity 8)
Dy: 0.0000 0.0829 0.6779 (multiplicity 8)
Dy: 0.0000 0.1880 0.9467 (multiplicity 8)
Er: 0.0000 0.0000 0.5000 (multiplicity 4)



PaZnNiRh: relaxed, PBE.

Summary:
**N(E_F)**: 1.19 states/eV per atom
**Final energy**: -102.29 eV per cell

Unit cell a=6.4897 b=6.4897 c=6.4897 alpha=90.00 beta=90.00 gamma=90.00
Space group F-43m (No. 216)
Symmetry-distinct sites (fractional):
Pa: 0.0000 0.0000 0.0000 (multiplicity 4)
Zn: 0.0000 0.0000 0.5000 (multiplicity 4)
Ni: 0.2500 0.2500 0.2500 (multiplicity 4)
Rh: 0.2500 0.2500 0.7500 (multiplicity 4)



CrCoTc2: relaxed, PBE.

Summary:
**N(E_F)**: 1.21 states/eV per atom
**Polymorph energy (0 for the lowest one)**: 0.102 eV/atom
**Final energy**: -73.61 eV per cell

Unit cell a=8.6198 b=2.6484 c=4.6241 alpha=90.00 beta=99.75 gamma=90.00
Space group C2/m (No. 12)
Symmetry-distinct sites (fractional):
Cr: 0.0000 0.0000 0.0000 (multiplicity 2)
Co: 0.0000 0.5000 0.5000 (multiplicity 2)
Tc: 0.2456 0.0000 0.7450 (multiplicity 4)



LaCdP2: relaxed, PBE.

Summary:
**N(E_F)**: 0.54 states/eV per atom
**Polymorph energy (0 for the lowest one)**: 0.000 eV/atom
**Final energy**: -19.21 eV per cell

Unit cell a=4.1152 b=4.0479 c=5.8459 alpha=90.00 beta=91.35 gamma=90.00
Space group P2/m (No. 10)
Symmetry-distinct sites (fractional):
La: 0.0000 0.0000 0.0000 (multiplicity 1)
Cd: 0.5000 0.0000 0.5000 (multiplicity 1)
P: 0.4783 0.5000 0.8105 (multiplicity 2)



NaSr2P: relaxed, PBE.

Summary:
**N(E_F)**: 0.51 states/eV per atom
**Final energy**: -37.77 eV per cell

Unit cell a=4.4709 b=4.4709 c=28.3505 alpha=90.00 beta=90.00 gamma=120.00
Space group R3m (No. 160, hexagonal axes)
Symmetry-distinct sites (fractional):
Na: 0.0000 0.0000 0.0000 (multiplicity 3)
Sr: 0.0000 0.0000 0.2226 (multiplicity 3)
Sr: 0.0000 0.0000 0.4458 (multiplicity 3)
P: 0.0000 0.0000 0.8347 (multiplicity 3)



La4NdEr3: relaxed, PBE.

Summary:
**N(E_F)**: 1.73 states/eV per atom
**Polymorph energy (0 for the lowest one)**: 0.020 eV/atom
**Final energy**: -75.87 eV per cell

Unit cell a=5.1635 b=10.3229 c=10.2919 alpha=90.00 beta=90.00 gamma=90.00
Space group Pmmn (No. 59, origin choice 2)
Symmetry-distinct sites (fractional):
La: 0.2500 0.9999 0.1277 (multiplicity 4)
La: 0.2500 0.2500 0.8700 (multiplicity 2)
La: 0.2500 0.7500 0.8727 (multiplicity 2)
Nd: 0.2500 0.2500 0.3837 (multiplicity 2)
Er: 0.2500 0.9999 0.6167 (multiplicity 4)
Er: 0.2500 0.7500 0.3816 (multiplicity 2)



PmErGaRh: relaxed, PBE.

Summary:
**N(E_F)**: 0.81 states/eV per atom
**Polymorph energy (0 for the lowest one)**: 0.079 eV/atom
**Final energy**: -88.83 eV per cell

Unit cell a=7.0835 b=7.0835 c=7.0835 alpha=90.00 beta=90.00 gamma=90.00
Space group F-43m (No. 216)
Symmetry-distinct sites (fractional):
Pm: 0.0000 0.0000 0.0000 (multiplicity 4)
Er: 0.0000 0.0000 0.5000 (multiplicity 4)
Ga: 0.2500 0.2500 0.7500 (multiplicity 4)
Rh: 0.2500 0.2500 0.2500 (multiplicity 4)



MgZnPdCl2: relaxed, PBE.

Summary:
**E_form (uncorrected)**: -0.17 eV per atom
**N(E_F)**: 0.30 states/eV per atom
**Final energy**: -12.61 eV per cell

Unit cell a=4.8998 b=4.8998 c=5.2254 alpha=90.00 beta=90.00 gamma=90.00
Space group P4/mmm (No. 123)
Symmetry-distinct sites (fractional):
Mg: 0.0000 0.0000 0.0000 (multiplicity 1)
Zn: 0.5000 0.5000 0.0000 (multiplicity 1)
Pd: 0.0000 0.0000 0.5000 (multiplicity 1)
Cl: 0.0000 0.5000 0.5000 (multiplicity 2)